Fe3Tc after structural relaxation. Source: Alexandria, functional PBE.

Cell lengths 5.109, 12.404, 4.434 Å; angles 90.00, 90.00, 90.00 degrees
Space group Pmmn (No. 59, origin choice 2)
Inequivalent atoms, fractional coordinates:
Fe (0.003, 0.084, 0.168)
Fe (0.004, 0.750, 0.505)
Fe (0.250, 0.250, 0.014)
Fe (0.250, 0.583, 0.338)
Tc (0.250, 0.091, 0.672)
Tc (0.250, 0.750, 0.004)

Computed properties:
* M_tot: 10.60 Bohr magnetons per cell
* formation energy from the elements: 0.0905 eV per atom
* final energy: -212.4 eV for the cell shown